RbHfSe2S PBE optimized geometry; DOS at the Fermi energy = 3.2 states/eV per cell; formation energy (no corrections) = -1.134 eV/atom
1.0
5.2822 0.0000 0.0000
0.0000 5.2822 0.0000
0.0000 0.0000 5.0236
Rb Hf Se S
1 1 2 1
Direct
0.0000 0.0000 0.0000
0.5000 0.5000 0.5000
0.0000 0.5000 0.5000
0.5000 0.0000 0.5000
0.5000 0.5000 0.0000